Entry 1:
Here is a relaxed ZrCuPd3 crystal from Alexandria via LeMat-Bulk. Energies are from PBE-GGA.

a = 4.8905 Å, b = 4.8905 Å, c = 4.8905 Å
α = 90.00°, β = 90.00°, γ = 90.00°
Last column: nearest neighbours and their distance in Å.
Atoms (fractional coordinates):
Zr: 0.0000 0.0000 0.0000  6 Pd 2.45
Cu: 0.5000 0.5000 0.5000  12 Pd 3.46
Pd: 0.0000 0.0000 0.5000  2 Zr 2.45
Pd: 0.0000 0.5000 0.0000  2 Zr 2.45
Pd: 0.5000 0.0000 0.0000  2 Zr 2.45

Results
ρ ... 6.73 g/cm3
Formation enthalpy at 0 K ... 0.855 eV per atom
SG ... No. 221
DFT total energy ... -4.790 eV/atom

=====

Entry 2:
Here is a relaxed TaReRh2 crystal from Alexandria via LeMat-Bulk. Energies are from PBE-GGA.

a = 4.8202 Å, b = 4.8202 Å, c = 4.8202 Å
α = 132.04°, β = 132.04°, γ = 70.17°
Last column: nearest neighbours and their distance in Å.
Atoms (fractional coordinates):
Ta: 0.0000 0.0000 0.0000  4 Re 2.77, 8 Rh 2.78
Re: 0.5000 0.5000 0.0000  4 Ta 2.77, 8 Rh 2.78
Rh: 0.2500 0.7500 0.5000  4 Rh 2.77, 4 Re 2.78, 4 Ta 2.78
Rh: 0.7500 0.2500 0.5000  4 Rh 2.77, 4 Re 2.78, 4 Ta 2.78

Results
ρ ... 15.71 g/cm3
Formation enthalpy at 0 K ... -0.339 eV per atom
SG ... No. 139
DFT total energy ... -10.090 eV/atom

=====

For the records above, the corresponding DOS(E_F) values read 2.4, 2.9 states/eV/f.u..